The following is a PBE calculation of an optimized crystal structure of LiLa2In, from Alexandria.

E_tot   -3.720 eV/atom
V   120.9 Å³/f.u.
Density of states at the Fermi level   8.05 states/eV/cell
ΔH_f (0 K)   -0.093 eV/atom
SG   C2/m

a b c (Å): 11.570 3.464 6.085
angles (deg): 90.00 97.60 90.00
Element x y z (fractional)
Li  0.000  0.000  0.000
Li  0.500  0.500  0.000
La  0.244  0.000  0.722
La  0.256  0.500  0.278
La  0.744  0.500  0.722
La  0.756  0.000  0.278
In  0.000  0.500  0.500
In  0.500  0.000  0.500



The following is a PBE calculation of an optimized crystal structure of OsBrN2O, from Alexandria.

E_tot   -6.093 eV/atom
Formation energy (no corrections)   0.810 eV per atom
V   60.6 Å³/f.u.
Density of states at the Fermi level   2.61 states/eV/cell
SG   P4/mmm

a b c (Å): 3.954 3.954 3.876
angles (deg): 90.00 90.00 90.00
Element x y z (fractional)
Os  0.000  0.000  0.000
Br  0.500  0.500  0.500
N  0.000  0.500  0.000
N  0.500  0.000  0.000
O  0.000  0.000  0.500



The following is a PBE calculation of an optimized crystal structure of LaDy2Te5, from Alexandria.

E_tot   -5.019 eV/atom
Formation energy (no corrections)   -1.289 eV per atom
V   241.3 Å³/f.u.
Density of states at the Fermi level   11.00 states/eV/cell
SG   I4/mcm

a b c (Å): 9.204 9.204 9.204
angles (deg): 126.91 126.91 78.39
Element x y z (fractional)
La  0.250  0.250  0.000
La  0.750  0.750  0.000
Dy  0.152  0.652  0.803
Dy  0.348  0.152  0.500
Dy  0.652  0.848  0.500
Dy  0.848  0.348  0.197
Te  0.000  0.000  0.000
Te  0.009  0.198  0.500
Te  0.198  0.698  0.189
Te  0.302  0.491  0.500
Te  0.491  0.991  0.189
Te  0.500  0.500  0.000
Te  0.509  0.009  0.811
Te  0.698  0.509  0.500
Te  0.802  0.302  0.811
Te  0.991  0.802  0.500



The following is a PBE calculation of an optimized crystal structure of Li3La, from Alexandria.

Excess energy over the best structure of this formula in the dataset   97 meV per atom
E_tot   -2.536 eV/atom
V   100.8 Å³/f.u.
Density of states at the Fermi level   5.33 states/eV/cell
ΔH_f (0 K)   0.131 eV/atom
SG   C2/m

a b c (Å): 10.832 3.310 5.747
angles (deg): 90.00 101.94 90.00
Element x y z (fractional)
Li  0.000  0.000  0.000
Li  0.234  0.500  0.208
Li  0.266  0.000  0.792
Li  0.500  0.500  0.000
Li  0.734  0.000  0.208
Li  0.766  0.500  0.792
La  0.000  0.500  0.500
La  0.500  0.000  0.500